No. 1
Material: Cs8Au3Cl3O
Method: DFT, PBE
State: optimized geometry Values from VASP.

## Properties
**Final energy**: -43.9 eV/cell
**V**: 48.79 Å³/atom
**Crystal system**: trigonal
**Symmetry**: R-3m, No. 166
**Uncorrected formation energy**: -108 kJ per mole of atoms

The structure in Quantum ESPRESSO input format:
```
&SYSTEM
  ibrav = 0, nat = 15, ntyp = 4
/
ATOMIC_SPECIES
Cs 132.91 Cs.upf
Au 196.97 Au.upf
Cl 35.45 Cl.upf
O 16.00 O.upf
ATOMIC_POSITIONS angstrom
Cs 0.000 0.000 6.227
Cs -2.106 -1.216 14.409
Cs 0.000 -2.432 11.009
Cs -2.106 1.216 11.009
Cs 2.106 -1.216 14.409
Cs 0.000 2.432 14.409
Cs 2.106 1.216 11.009
Cs 0.000 0.000 19.190
Au -2.497 -1.441 8.472
Au -2.497 1.441 16.945
Au 0.000 2.883 8.472
Cl -4.993 0.000 12.709
Cl -2.497 1.441 4.236
Cl 2.497 1.441 4.236
O 0.000 0.000 12.709
CELL_PARAMETERS angstrom
4.993 2.883 8.472
-4.993 2.883 8.472
0.000 -5.766 8.472
```

=====

No. 2
Material: AlPPb2
Method: DFT, PBE
State: optimized geometry Values from VASP.

## Properties
**Final energy**: -16.6 eV/cell
**V**: 24.72 Å³/atom
**Offset from the most stable computed form**: 0.000 eV per atom
**Crystal system**: orthorhombic
**Symmetry**: Immm, No. 71

The structure in Quantum ESPRESSO input format:
```
&SYSTEM
  ibrav = 0, nat = 4, ntyp = 3
/
ATOMIC_SPECIES
Al 26.98 Al.upf
P 30.97 P.upf
Pb 207.20 Pb.upf
ATOMIC_POSITIONS angstrom
Al 0.000 0.000 0.000
P 0.000 0.000 8.040
Pb 1.751 0.000 5.326
Pb 0.000 1.756 2.713
CELL_PARAMETERS angstrom
-1.751 1.756 8.040
1.751 -1.756 8.040
1.751 1.756 -8.040
```

=====

No. 3
Material: NaTcNi
Method: DFT, PBE
State: optimized geometry Values from VASP.

## Properties
**Final energy**: -32.8 eV/cell
**V**: 18.64 Å³/atom
**Offset from the most stable computed form**: 0.113 eV per atom
**Crystal system**: monoclinic
**Symmetry**: Pm, No. 6

The structure in Quantum ESPRESSO input format:
```
&SYSTEM
  ibrav = 0, nat = 6, ntyp = 3
/
ATOMIC_SPECIES
Na 22.99 Na.upf
Tc 98.00 Tc.upf
Ni 58.69 Ni.upf
ATOMIC_POSITIONS angstrom
Na 0.000 0.000 0.000
Na 0.882 2.041 7.225
Tc 0.750 2.041 4.137
Tc 2.189 0.000 5.005
Ni 0.833 0.000 2.673
Ni 2.133 2.041 2.048
CELL_PARAMETERS angstrom
2.719 0.000 0.000
0.000 4.081 0.000
-0.506 0.000 10.077
```

=====

No. 4
Material: Tl3Si5Se12
Method: DFT, PBE
State: optimized geometry Values from VASP.

## Properties
**Final energy**: -317.7 eV/cell
**V**: 25.35 Å³/atom
**Crystal system**: cubic
**Symmetry**: Ia-3d, No. 230
**Uncorrected formation energy**: -16 kJ per mole of atoms

The structure in Quantum ESPRESSO input format:
```
&SYSTEM
  ibrav = 0, nat = 80, ntyp = 3
/
ATOMIC_SPECIES
Tl 204.38 Tl.upf
Si 28.09 Si.upf
Se 78.96 Se.upf
ATOMIC_POSITIONS angstrom
Tl 3.987 1.993 0.000
Tl 7.974 3.987 -1.993
Tl 1.993 0.000 3.987
Tl 9.967 0.000 3.987
Tl 0.000 3.987 1.993
Tl 3.987 -1.993 7.974
Tl 3.987 9.967 0.000
Tl 7.974 3.987 5.980
Tl -1.993 7.974 3.987
Tl 5.980 7.974 3.987
Tl 0.000 3.987 9.967
Tl 3.987 5.980 7.974
Si 0.000 0.000 0.000
Si 3.987 3.987 -3.987
Si 3.987 -3.987 3.987
Si 7.974 0.000 0.000
Si 11.961 1.993 0.000
Si 7.974 -3.987 5.980
Si 5.980 7.974 -3.987
Si 5.980 0.000 3.987
Si 3.987 5.980 0.000
Si 7.974 3.987 1.993
Si -3.987 3.987 3.987
Si 0.000 7.974 0.000
Si 0.000 0.000 7.974
Si 3.987 3.987 3.987
Si 0.000 3.987 5.980
Si 3.987 1.993 7.974
Si 1.993 7.974 3.987
Si 1.993 0.000 11.961
Si 0.000 11.961 1.993
Si -3.987 5.980 7.974
Se 2.329 -0.580 0.866
Se 9.632 4.852 -4.567
Se 10.303 0.580 0.866
Se 9.632 -3.121 4.567
Se 7.394 -0.866 2.329
Se 12.540 -1.658 3.121
Se 0.866 2.329 -0.580
Se 11.095 3.407 -1.658
Se 4.852 4.567 -1.658
Se 7.108 2.329 0.580
Se -0.580 0.866 2.329
Se 4.567 -1.658 4.852
Se 7.394 7.108 -2.329
Se 4.567 1.658 3.121
Se 4.852 -4.567 9.632
Se 7.108 -2.329 7.394
Se 3.121 4.567 1.658
Se 8.839 5.645 0.580
Se 4.567 9.632 -3.121
Se 7.394 0.866 5.645
Se 2.329 7.394 -0.866
Se 9.632 3.121 3.407
Se 1.658 3.121 4.567
Se 2.329 0.580 7.108
Se 5.645 7.394 0.866
Se 6.316 4.852 3.407
Se -1.658 4.852 4.567
Se 5.645 0.580 8.839
Se 0.580 7.108 2.329
Se 3.407 -1.658 11.095
Se -0.866 2.329 7.394
Se 4.852 3.407 6.316
Se 0.866 10.303 0.580
Se 3.121 12.540 -1.658
Se 3.407 6.316 4.852
Se 0.580 0.866 10.303
Se 3.407 9.632 3.121
Se 8.553 7.108 5.645
Se 0.866 5.645 7.394
Se 3.121 3.407 9.632
Se -3.121 4.567 9.632
Se 7.108 5.645 8.553
Se -4.567 9.632 4.852
Se 0.580 8.839 5.645
Se -1.658 11.095 3.407
Se -2.329 7.394 7.108
Se -1.658 3.121 12.540
Se 5.645 8.553 7.108
CELL_PARAMETERS angstrom
-7.974 7.974 7.974
7.974 -7.974 7.974
7.974 7.974 -7.974
```

=====

No. 5
Material: AcCeDySc
Method: DFT, PBE
State: optimized geometry Values from VASP.

## Properties
**Final energy**: -20.3 eV/cell
**V**: 32.79 Å³/atom
**Crystal system**: cubic
**Symmetry**: F-43m, No. 216

The structure in Quantum ESPRESSO input format:
```
&SYSTEM
  ibrav = 0, nat = 4, ntyp = 4
/
ATOMIC_SPECIES
Ac 227.00 Ac.upf
Ce 140.12 Ce.upf
Dy 162.50 Dy.upf
Sc 44.96 Sc.upf
ATOMIC_POSITIONS angstrom
Ac 0.000 0.000 0.000
Ce 4.032 4.032 4.032
Dy 6.049 6.049 6.049
Sc 2.016 2.016 2.016
CELL_PARAMETERS angstrom
0.000 4.032 4.032
4.032 0.000 4.032
4.032 4.032 0.000
```

=====

No. 6
Material: CrFeMoOs
Method: DFT, PBE
State: optimized geometry Values from VASP.

## Properties
**Final energy**: -39.6 eV/cell
**V**: 13.42 Å³/atom
**Crystal system**: cubic
**Symmetry**: F-43m, No. 216

The structure in Quantum ESPRESSO input format:
```
&SYSTEM
  ibrav = 0, nat = 4, ntyp = 4
/
ATOMIC_SPECIES
Cr 52.00 Cr.upf
Fe 55.84 Fe.upf
Mo 95.94 Mo.upf
Os 190.23 Os.upf
ATOMIC_POSITIONS angstrom
Cr 0.000 0.000 0.000
Fe 2.994 2.994 2.994
Mo 1.497 1.497 1.497
Os 4.491 4.491 4.491
CELL_PARAMETERS angstrom
0.000 2.994 2.994
2.994 0.000 2.994
2.994 2.994 0.000
```

=====

No. 7
Material: Ag2HAu
Method: DFT, PBE
State: optimized geometry Values from VASP.

## Properties
**Final energy**: -10.0 eV/cell
**V**: 16.36 Å³/atom
**Offset from the most stable computed form**: 0.382 eV per atom
**Crystal system**: cubic
**Symmetry**: Fm-3m, No. 225

The structure in Quantum ESPRESSO input format:
```
&SYSTEM
  ibrav = 0, nat = 4, ntyp = 3
/
ATOMIC_SPECIES
Ag 107.87 Ag.upf
H 1.01 H.upf
Au 196.97 Au.upf
ATOMIC_POSITIONS angstrom
Ag 1.599 1.599 1.599
Ag 4.798 4.798 4.798
H 0.000 0.000 0.000
Au 3.199 3.199 3.199
CELL_PARAMETERS angstrom
0.000 3.199 3.199
3.199 0.000 3.199
3.199 3.199 0.000
```

=====

No. 8
Material: TbPrTm6
Method: DFT, PBE
State: optimized geometry Values from VASP.

## Properties
**Final energy**: -32.8 eV/cell
**V**: 32.02 Å³/atom
**Offset from the most stable computed form**: 0.058 eV per atom
**Crystal system**: monoclinic
**Symmetry**: C2/m, No. 12

The structure in Quantum ESPRESSO input format:
```
&SYSTEM
  ibrav = 0, nat = 8, ntyp = 3
/
ATOMIC_SPECIES
Tb 158.93 Tb.upf
Pr 140.91 Pr.upf
Tm 168.93 Tm.upf
ATOMIC_POSITIONS angstrom
Tb 0.000 0.000 0.000
Pr -1.721 0.000 3.033
Tm 2.562 3.309 1.504
Tm 0.933 3.309 4.562
Tm 0.871 0.000 4.558
Tm 2.624 0.000 1.508
Tm 2.562 -3.309 1.504
Tm 0.933 -3.309 4.562
CELL_PARAMETERS angstrom
3.468 -6.088 0.000
3.468 6.088 0.000
-3.442 0.000 6.066
```

=====

No. 9
Material: MnOsRh3
Method: DFT, PBE
State: optimized geometry Values from VASP.

## Properties
**Final energy**: -33.3 eV/cell
**V**: 20.33 Å³/atom
**Offset from the most stable computed form**: 0.367 eV per atom
**Crystal system**: cubic
**Symmetry**: Pm-3m, No. 221

The structure in Quantum ESPRESSO input format:
```
&SYSTEM
  ibrav = 0, nat = 5, ntyp = 3
/
ATOMIC_SPECIES
Mn 54.94 Mn.upf
Os 190.23 Os.upf
Rh 102.91 Rh.upf
ATOMIC_POSITIONS angstrom
Mn 0.000 0.000 0.000
Os 2.333 2.333 2.333
Rh 0.000 2.333 2.333
Rh 2.333 0.000 2.333
Rh 2.333 2.333 0.000
CELL_PARAMETERS angstrom
4.667 0.000 0.000
0.000 4.667 0.000
0.000 0.000 4.667
```

=====

No. 10
Material: Sr2TlCd2
Method: DFT, PBE
State: optimized geometry Values from VASP.

## Properties
**Final energy**: -18.0 eV/cell
**V**: 33.32 Å³/atom
**Offset from the most stable computed form**: 0.042 eV per atom
**Crystal system**: tetragonal
**Symmetry**: P4/mbm, No. 127

The structure in Quantum ESPRESSO input format:
```
&SYSTEM
  ibrav = 0, nat = 10, ntyp = 3
/
ATOMIC_SPECIES
Sr 87.62 Sr.upf
Tl 204.38 Tl.upf
Cd 112.41 Cd.upf
ATOMIC_POSITIONS angstrom
Sr 1.518 2.734 0.000
Sr 2.734 6.986 0.000
Sr 5.770 1.518 0.000
Sr 6.986 5.770 0.000
Tl 0.000 0.000 2.304
Tl 4.252 4.252 2.304
Cd 1.030 5.282 2.304
Cd 3.222 1.030 2.304
Cd 5.282 7.474 2.304
Cd 7.474 3.222 2.304
CELL_PARAMETERS angstrom
8.504 0.000 0.000
0.000 8.504 0.000
0.000 0.000 4.607
```

=====

- The highest V belongs to which entry?
  Cs8Au3Cl3O

=====

- Which formula does entry 5 have?
  AcCeDySc

=====

- Which of these has the lowest V?
  CrFeMoOs

=====

- What is the final energy in the first record?
  -43.9 eV/cell